Crystalline ErTm3Pb5 at its relaxed geometry, computed with PBE.

Values from the calculation:
As for the calculated volume: 28.026 Å³/atom. Its symmetry is P6_3/mcm. Its formation energy is -0.351 eV/atom. The total energy comes out at -79.35 eV for the cell shown. The calculation puts the total magnetization at 0.0 μB/f.u.

Cell and atoms, written as POSCAR:
```
ErTm3Pb5
1.0
6.5109 0.0000 0.0000
0.0000 9.4587 0.0000
0.0000 -4.7294 8.1915
Pb Tm Er
10 6 2
Cartesian
0.0000 4.7294 2.7305
4.8832 -3.3626 5.8241
4.8832 6.7251 0.0000
0.0000 0.0000 5.4610
1.6277 3.3626 5.8241
1.6277 2.7336 0.0000
1.6277 -1.3668 2.3674
3.2554 0.0000 5.4610
3.2554 4.7294 2.7305
4.8832 1.3668 2.3674
1.6277 1.8003 3.1183
1.6277 5.8580 0.0000
4.8832 3.6007 0.0000
4.8832 -1.8003 3.1183
1.6277 -2.9290 5.0732
4.8832 2.9290 5.0732
3.2554 0.0000 0.0000
0.0000 0.0000 0.0000
```

Crystalline TaCo2Au at its relaxed geometry, computed with PBE.

Values from the calculation:
As for the calculated volume: 15.052 Å³/atom. Its symmetry is R-3m. The calculation puts the relative energy among the computed polymorphs at 0.315 eV/atom. Its formation energy is 0.216 eV/atom. The total energy comes out at -28.48 eV for the cell shown. The calculation puts the total magnetization at 2.0 μB/f.u.

Cell and atoms, written as POSCAR:
```
TaCo2Au
1.0
-6.5244 1.2336 5.1866
-7.8408 -0.2566 3.0735
-6.4314 -1.6665 5.1818
Ta Co Au
1 2 1
Cartesian
-5.1991 -0.1724 3.3605
-20.6840 -0.6857 13.3692
-10.5108 -0.3485 6.7937
-15.5974 -0.5171 10.0814
```

Crystalline LiNiIr2 at its relaxed geometry, computed with PBE.

Values from the calculation:
As for the calculated volume: 12.897 Å³/atom. Its symmetry is Cmmm. The calculation puts the relative energy among the computed polymorphs at 0.070 eV/atom. Its formation energy is -0.006 eV/atom. The total energy comes out at -25.44 eV for the cell shown. The calculation puts the total magnetization at 0.0 μB/f.u.

Cell and atoms, written as POSCAR:
```
LiNiIr2
1.0
4.5804 0.0004 0.0000
-1.5253 4.3189 0.0000
0.0000 0.0000 2.6078
Ni Ir Li
1 2 1
Cartesian
-0.7626 2.1595 1.3039
0.0000 0.0000 0.0000
1.5275 2.1597 0.0000
2.2902 0.0002 1.3039
```